Here is a relaxed structure of SiAg2 from the Alexandria database. Energies are from PBE-GGA.

Computed properties:
DFT total energy (eV/cell): -40.8
Formation energy without anion corrections (eV per atom): 0.304
E above lowest polymorph (meV per atom): 92
M_tot (μB/f.u.): 0.00

abc: 2.8065 2.8065 26.8169
angles: 90.00 90.00 90.00
Space group I4_1/amd (No. 141, origin choice 2)
Asymmetric unit:
Si  0.0000  0.2500  0.3750 (multiplicity 4)
Ag  0.0000  0.2500  0.7972 (multiplicity 8)

=====

Here is a relaxed structure of SiAg2 from the Alexandria database. Energies are from PBE-GGA.

Computed properties:
DFT total energy (eV/cell): -10.5
Formation energy without anion corrections (eV per atom): 0.214
E above lowest polymorph (meV per atom): 2
M_tot (μB/f.u.): 0.00

abc: 2.9493 2.9493 6.7154
angles: 90.00 90.00 120.00
Space group P-3m1 (No. 164)
Asymmetric unit:
Si  0.0000  0.0000  0.0000 (multiplicity 1)
Ag  0.3333  0.6667  0.3201 (multiplicity 2)

=====

Here is a relaxed structure of SiAg from the Alexandria database. Energies are from PBE-GGA.

Computed properties:
DFT total energy (eV/cell): -14.9
Formation energy without anion corrections (eV per atom): 0.405
E above lowest polymorph (meV per atom): 183
M_tot (μB/f.u.): 0.00

abc: 2.7990 5.0766 4.7941
angles: 90.00 90.00 90.00
Space group Cmmm (No. 65)
Asymmetric unit:
Si  0.0000  0.0000  0.0000 (multiplicity 2)
Ag  0.0000  0.5000  0.5000 (multiplicity 2)

=====

Here is a relaxed structure of Si5Ag3 from the Alexandria database. Energies are from PBE-GGA.

Computed properties:
DFT total energy (eV/cell): -63.9
Formation energy without anion corrections (eV per atom): 0.462
E above lowest polymorph (meV per atom): 0
M_tot (μB/f.u.): 0.00

abc: 7.7504 8.0508 4.2713
angles: 90.00 90.00 90.00
Space group Cmmm (No. 65)
Asymmetric unit:
Si  0.0000  0.0000  0.0000 (multiplicity 2)
Si  0.2202  0.0000  0.5000 (multiplicity 4)
Si  0.2500  0.2500  0.0000 (multiplicity 4)
Ag  0.0000  0.2680  0.5000 (multiplicity 4)
Ag  0.0000  0.5000  0.0000 (multiplicity 2)

=====

Here is a relaxed structure of SiAg from the Alexandria database. Energies are from PBE-GGA.

Computed properties:
DFT total energy (eV/cell): -39.4
Formation energy without anion corrections (eV per atom): 0.856
E above lowest polymorph (meV per atom): 634
M_tot (μB/f.u.): 0.00

abc: 7.0235 7.0235 7.0235
angles: 90.00 90.00 90.00
Space group Pm-3n (No. 223)
Asymmetric unit:
Si  0.0000  0.2500  0.5000 (multiplicity 6)
Ag  0.0000  0.5000  0.2500 (multiplicity 6)

=====

Here is a relaxed structure of SiAg from the Alexandria database. Energies are from PBE-GGA.

Computed properties:
DFT total energy (eV/cell): -60.5
Formation energy without anion corrections (eV per atom): 0.353
E above lowest polymorph (meV per atom): 131
M_tot (μB/f.u.): 0.00

abc: 9.1845 9.1845 3.6015
angles: 90.00 90.00 90.00
Space group I4/m (No. 87)
Asymmetric unit:
Si  0.0752  0.6201  0.0000 (multiplicity 8)
Ag  0.1263  0.1814  0.0000 (multiplicity 8)

=====

Here is a relaxed structure of SiAg from the Alexandria database. Energies are from PBE-GGA.

Computed properties:
DFT total energy (eV/cell): -62.6
Formation energy without anion corrections (eV per atom): 0.222
E above lowest polymorph (meV per atom): 0
M_tot (μB/f.u.): 0.00

abc: 4.7291 6.6863 9.9757
angles: 90.00 90.00 90.00
Space group Pnma (No. 62)
Asymmetric unit:
Si  0.1632  0.0743  0.0768 (multiplicity 8)
Ag  0.1525  0.5185  0.3305 (multiplicity 8)

=====

Here is a relaxed structure of SiAg from the Alexandria database. Energies are from PBE-GGA.

Computed properties:
DFT total energy (eV/cell): -31.0
Formation energy without anion corrections (eV per atom): 0.257
E above lowest polymorph (meV per atom): 35
M_tot (μB/f.u.): 0.00

abc: 12.7097 2.7965 4.2209
angles: 90.00 101.27 90.00
Space group C2/m (No. 12)
Asymmetric unit:
Si  0.0950  0.0000  0.0454 (multiplicity 4)
Ag  0.1522  0.5000  0.5821 (multiplicity 4)

=====

Here is a relaxed structure of SiAg3 from the Alexandria database. Energies are from PBE-GGA.

Computed properties:
DFT total energy (eV/cell): -13.3
Formation energy without anion corrections (eV per atom): 0.175
M_tot (μB/f.u.): 0.00

abc: 2.9495 4.3133 5.5752
angles: 90.00 103.17 90.00
Space group P2/m (No. 10)
Asymmetric unit:
Si  0.0000  0.0000  0.0000 (multiplicity 1)
Ag  0.0000  0.0000  0.5000 (multiplicity 1)
Ag  0.3731  0.5000  0.2362 (multiplicity 2)

=====

Here is a relaxed structure of SiAg3 from the Alexandria database. Energies are from PBE-GGA.

Computed properties:
DFT total energy (eV/cell): -26.5
Formation energy without anion corrections (eV per atom): 0.186
M_tot (μB/f.u.): 0.00

abc: 5.8842 5.8842 4.5810
angles: 90.00 90.00 120.00
Space group P6_3/mmc (No. 194)
Asymmetric unit:
Si  0.3333  0.6667  0.2500 (multiplicity 2)
Ag  0.1701  0.3401  0.7500 (multiplicity 6)

=====

Here is a relaxed structure of SiAg2 from the Alexandria database. Energies are from PBE-GGA.

Computed properties:
DFT total energy (eV/cell): -41.5
Formation energy without anion corrections (eV per atom): 0.253
E above lowest polymorph (meV per atom): 41
M_tot (μB/f.u.): 0.00

abc: 6.0747 6.0747 6.0747
angles: 90.00 90.00 90.00
Space group Fm-3m (No. 225)
Asymmetric unit:
Si  0.0000  0.0000  0.0000 (multiplicity 4)
Ag  0.2500  0.2500  0.2500 (multiplicity 8)

=====

Here is a relaxed structure of Si3Ag from the Alexandria database. Energies are from PBE-GGA.

Computed properties:
DFT total energy (eV/cell): -34.5
Formation energy without anion corrections (eV per atom): 0.470
E above lowest polymorph (meV per atom): 185
M_tot (μB/f.u.): 0.00

abc: 2.8256 10.2366 4.5408
angles: 90.00 90.00 90.00
Space group Imm2 (No. 44)
Asymmetric unit:
Si  0.0000  0.0000  0.0000 (multiplicity 2)
Si  0.0000  0.2870  0.5021 (multiplicity 4)
Ag  0.0000  0.5000  0.0003 (multiplicity 2)